No. 1
# PBE-GGA La2TbGa4Pt3, relaxed
# Formation enthalpy at 0 K: -0.904 eV/atom
# E_tot: -5.375 eV/atom
data_La2TbGa4Pt3
_symmetry_space_group_name_H-M 'P -4 m 2'
_symmetry_Int_Tables_number 115
_symmetry_space_group_name_Hall 'P -4 -2'
_cell_length_a 4.302
_cell_length_b 4.302
_cell_length_c 11.671
_cell_angle_alpha 90.00
_cell_angle_beta 90.00
_cell_angle_gamma 90.00
loop_
_atom_site_label
_atom_site_type_symbol
_atom_site_fract_x
_atom_site_fract_y
_atom_site_fract_z
La1 La 0.000 0.500 0.225
Tb1 Tb 0.000 0.000 0.500
Ga1 Ga 0.000 0.000 0.000
Ga2 Ga 0.000 0.500 0.665
Ga3 Ga 0.500 0.500 0.000
Pt1 Pt 0.000 0.500 0.878
Pt2 Pt 0.500 0.500 0.500

No. 2
# PBE-GGA TmThAlAg, relaxed
# Formation enthalpy at 0 K: -0.206 eV/atom
# E_tot: -4.828 eV/atom
data_TmThAlAg
_symmetry_space_group_name_H-M 'F -4 3 m'
_symmetry_Int_Tables_number 216
_symmetry_space_group_name_Hall 'F -4 2 3'
_cell_length_a 7.362
_cell_length_b 7.362
_cell_length_c 7.362
_cell_angle_alpha 90.00
_cell_angle_beta 90.00
_cell_angle_gamma 90.00
loop_
_atom_site_label
_atom_site_type_symbol
_atom_site_fract_x
_atom_site_fract_y
_atom_site_fract_z
Tm1 Tm 0.000 0.000 0.000
Th1 Th 0.000 0.000 0.500
Al1 Al 0.250 0.250 0.750
Ag1 Ag 0.250 0.250 0.250

No. 3
# PBE-GGA Ti4NbRu, relaxed
# Formation enthalpy at 0 K: -0.247 eV/atom
# E above lowest polymorph: 0.000 eV/atom
# E_tot: -8.735 eV/atom
data_Ti4NbRu
_symmetry_space_group_name_H-M 'C 1 2/m 1'
_symmetry_Int_Tables_number 12
_symmetry_space_group_name_Hall '-C 2y'
_cell_length_a 9.571
_cell_length_b 4.461
_cell_length_c 5.650
_cell_angle_alpha 90.00
_cell_angle_beta 125.36
_cell_angle_gamma 90.00
loop_
_atom_site_label
_atom_site_type_symbol
_atom_site_fract_x
_atom_site_fract_y
_atom_site_fract_z
Ti1 Ti 0.156 0.000 0.309
Ti2 Ti 0.184 0.000 0.826
Nb1 Nb 0.000 0.500 0.500
Ru1 Ru 0.000 0.500 0.000

No. 4
# PBE-GGA Pr3Ho4Ir4, relaxed
# Formation enthalpy at 0 K: -0.624 eV/atom
# E_tot: -6.814 eV/atom
data_Pr3Ho4Ir4
_symmetry_space_group_name_H-M 'I m m m'
_symmetry_Int_Tables_number 71
_symmetry_space_group_name_Hall '-I 2 2'
_cell_length_a 4.020
_cell_length_b 8.644
_cell_length_c 15.923
_cell_angle_alpha 90.00
_cell_angle_beta 90.00
_cell_angle_gamma 90.00
loop_
_atom_site_label
_atom_site_type_symbol
_atom_site_fract_x
_atom_site_fract_y
_atom_site_fract_z
Pr1 Pr 0.000 0.000 0.000
Pr2 Pr 0.000 0.500 0.102
Ho1 Ho 0.000 0.308 0.331
Ir1 Ir 0.000 0.000 0.239
Ir2 Ir 0.000 0.217 0.500

No. 5
# PBE-GGA LiB2Mo2, relaxed
# Formation enthalpy at 0 K: -0.241 eV/atom
# E_tot: -7.627 eV/atom
data_LiB2Mo2
_symmetry_space_group_name_H-M 'P 4/m b m'
_symmetry_Int_Tables_number 127
_symmetry_space_group_name_Hall '-P 4 2ab'
_cell_length_a 5.796
_cell_length_b 5.796
_cell_length_c 3.143
_cell_angle_alpha 90.00
_cell_angle_beta 90.00
_cell_angle_gamma 90.00
loop_
_atom_site_label
_atom_site_type_symbol
_atom_site_fract_x
_atom_site_fract_y
_atom_site_fract_z
Li1 Li 0.000 0.000 0.000
B1 B 0.110 0.390 0.000
Mo1 Mo 0.175 0.675 0.500

No. 6
# PBE-GGA CdSe2BrN, relaxed
# E above lowest polymorph: 0.531 eV/atom
# E_tot: -2.250 eV/atom
data_CdSe2BrN
_symmetry_space_group_name_H-M 'P 4/m m m'
_symmetry_Int_Tables_number 123
_symmetry_space_group_name_Hall '-P 4 2'
_cell_length_a 5.450
_cell_length_b 5.450
_cell_length_c 5.647
_cell_angle_alpha 90.00
_cell_angle_beta 90.00
_cell_angle_gamma 90.00
loop_
_atom_site_label
_atom_site_type_symbol
_atom_site_fract_x
_atom_site_fract_y
_atom_site_fract_z
Cd1 Cd 0.000 0.000 0.000
Se1 Se 0.000 0.500 0.000
Br1 Br 0.000 0.000 0.500
N1 N 0.500 0.500 0.500

No. 7
# PBE-GGA SmDy2In3Te6, relaxed
# E_tot: -4.391 eV/atom
data_SmDy2In3Te6
_symmetry_space_group_name_H-M 'C 1 2/m 1'
_symmetry_Int_Tables_number 12
_symmetry_space_group_name_Hall '-C 2y'
_cell_length_a 7.681
_cell_length_b 13.303
_cell_length_c 8.508
_cell_angle_alpha 90.00
_cell_angle_beta 107.52
_cell_angle_gamma 90.00
loop_
_atom_site_label
_atom_site_type_symbol
_atom_site_fract_x
_atom_site_fract_y
_atom_site_fract_z
Sm1 Sm 0.000 0.000 0.000
Dy1 Dy 0.000 0.333 0.000
In1 In 0.000 0.165 0.500
In2 In 0.000 0.500 0.500
Te1 Te 0.235 0.500 0.220
Te2 Te 0.243 0.169 0.221

No. 8
# PBE-GGA K4Pu3InTe8, relaxed
# E_tot: -5.542 eV/atom
data_K4Pu3InTe8
_symmetry_space_group_name_H-M 'C m m m'
_symmetry_Int_Tables_number 65
_symmetry_space_group_name_Hall '-C 2 2'
_cell_length_a 11.020
_cell_length_b 11.066
_cell_length_c 8.502
_cell_angle_alpha 90.00
_cell_angle_beta 90.00
_cell_angle_gamma 90.00
loop_
_atom_site_label
_atom_site_type_symbol
_atom_site_fract_x
_atom_site_fract_y
_atom_site_fract_z
K1 K 0.000 0.000 0.000
K2 K 0.000 0.500 0.000
K3 K 0.250 0.250 0.000
Pu1 Pu 0.000 0.000 0.500
Pu2 Pu 0.250 0.250 0.500
In1 In 0.000 0.500 0.500
Te1 Te 0.000 0.242 0.285
Te2 Te 0.242 0.000 0.285

No. 9
# PBE-GGA MgSnPd5, relaxed
# Formation enthalpy at 0 K: -0.378 eV/atom
# E above lowest polymorph: 0.000 eV/atom
# E_tot: -4.886 eV/atom
data_MgSnPd5
_symmetry_space_group_name_H-M 'P 4/m m m'
_symmetry_Int_Tables_number 123
_symmetry_space_group_name_Hall '-P 4 2'
_cell_length_a 4.474
_cell_length_b 4.474
_cell_length_c 6.070
_cell_angle_alpha 90.00
_cell_angle_beta 90.00
_cell_angle_gamma 90.00
loop_
_atom_site_label
_atom_site_type_symbol
_atom_site_fract_x
_atom_site_fract_y
_atom_site_fract_z
Mg1 Mg 0.000 0.000 0.000
Sn1 Sn 0.500 0.500 0.500
Pd1 Pd 0.000 0.000 0.500
Pd2 Pd 0.000 0.500 0.236

No. 10
# PBE-GGA KSrN, relaxed
# E_tot: -3.786 eV/atom
data_KSrN
_symmetry_space_group_name_H-M 'C 1 2/m 1'
_symmetry_Int_Tables_number 12
_symmetry_space_group_name_Hall '-C 2y'
_cell_length_a 16.154
_cell_length_b 4.193
_cell_length_c 7.789
_cell_angle_alpha 90.00
_cell_angle_beta 116.21
_cell_angle_gamma 90.00
loop_
_atom_site_label
_atom_site_type_symbol
_atom_site_fract_x
_atom_site_fract_y
_atom_site_fract_z
K1 K 0.117 0.000 0.462
Sr1 Sr 0.120 0.500 0.933
N1 N 0.024 0.500 0.587